Record 1
## In3Si2 (GGA-PBE)

Data for a relaxed structure of In3Si2.

Summary:
uncorrected formation energy	0.34	eV/atom

abc: 3.8918 3.8918 27.0839
angles: 90.00 90.00 120.00
Space group R-3m (No. 166, hexagonal axes)
Asymmetric unit:
In1 0.0000 0.0000 0.0000 x3
In2 0.0000 0.0000 0.2091 x6
Si1 0.0000 0.0000 0.3957 x6


Record 2
## MnAg2IrPb (GGA-PBE)

Data for a relaxed structure of MnAg2IrPb.

Summary:
energy relative to the elements	1.39	eV/atom

abc: 4.795 4.795 5.021
angles: 90.00 90.00 90.00
Space group P4/mmm (No. 123)
Asymmetric unit:
Mn1 0.000 0.000 0.000 x1
Ag1 0.000 0.500 0.000 x2
Ir1 0.500 0.500 0.500 x1
Pb1 0.000 0.000 0.500 x1


Record 3
## MgAs2CBr (GGA-PBE)

Data for a relaxed structure of MgAs2CBr.

Summary:
energy relative to the lowest polymorph listed for this composition	0.00	kJ per mole of atoms
uncorrected formation energy	0.75	eV/atom

abc: 4.104 4.104 6.910
angles: 90.00 90.00 90.00
Space group P4/mmm (No. 123)
Asymmetric unit:
Mg1 0.000 0.000 0.000 x1
As1 0.000 0.500 0.500 x2
C1 0.500 0.500 0.500 x1
Br1 0.500 0.500 0.000 x1


| no. | DOS at the Fermi energy (states/eV/f.u.) | energy (eV/cell) |
| --- | --- | --- |
| 1 | 1.75 | -52.10 |
| 2 | 4.51 | -20.51 |
| 3 | 1.80 | -18.02 |